## ThGe2O2 (PBE-GGA)

Data for crystalline ThGe2O2 at its relaxed geometry.

Cell lengths 10.453, 10.453, 10.453 Å; angles 117.17, 117.17, 94.98 degrees
Atoms (fractional coordinates):
Ge (0.609, 0.971, 0.362)
Ge (0.141, 0.003, 0.862)
Ge (0.997, 0.859, 0.138)
Ge (0.753, 0.391, 0.362)
Ge (0.029, 0.391, 0.638)
Ge (0.721, 0.859, 0.862)
Ge (0.141, 0.279, 0.138)
Ge (0.609, 0.247, 0.638)
O (0.564, 0.272, 0.292)
O (0.980, 0.272, 0.708)
O (0.186, 0.978, 0.208)
O (0.728, 0.020, 0.292)
O (0.770, 0.978, 0.792)
O (0.022, 0.814, 0.792)
O (0.728, 0.436, 0.708)
O (0.022, 0.230, 0.208)
Th (0.875, 0.125, 0.750)
Th (0.375, 0.125, 0.250)
Th (0.875, 0.125, 0.250)
Th (0.875, 0.625, 0.750)

Summary:
Final energy (eV/atom): -6.38
V (Å³/atom): 41.9
Uncorrected formation energy (eV per atom): -1.0701

---

## ThGeO2 (PBE-GGA)

Data for crystalline ThGeO2 at its relaxed geometry.

Cell lengths 7.617, 7.617, 7.617 Å; angles 122.77, 122.77, 85.26 degrees
Atoms (fractional coordinates):
Th (0.375, 0.125, 0.750)
Th (0.875, 0.625, 0.250)
Th (0.375, 0.625, 0.750)
Th (0.375, 0.625, 0.250)
O (0.528, 0.834, 0.694)
O (0.140, 0.834, 0.306)
O (0.222, 0.416, 0.806)
O (0.166, 0.860, 0.694)
O (0.584, 0.390, 0.806)
O (0.610, 0.416, 0.194)
O (0.166, 0.472, 0.306)
O (0.584, 0.778, 0.194)
Ge (0.875, 0.125, 0.750)
Ge (0.875, 0.625, 0.750)
Ge (0.375, 0.125, 0.250)
Ge (0.875, 0.125, 0.250)

Summary:
Final energy (eV/atom): -7.44
V (Å³/atom): 18.6
Uncorrected formation energy (eV per atom): -1.9503

---

## YThGe2O8 (PBE-GGA)

Data for crystalline YThGe2O8 at its relaxed geometry.

Cell lengths 6.061, 6.061, 6.061 Å; angles 107.24, 107.24, 114.04 degrees
Atoms (fractional coordinates):
Th (0.000, 0.000, 0.000)
O (0.863, 0.679, 0.184)
O (0.321, 0.505, 0.184)
O (0.495, 0.679, 0.816)
O (0.387, 0.068, 0.319)
O (0.932, 0.251, 0.319)
O (0.932, 0.613, 0.681)
O (0.749, 0.068, 0.681)
O (0.321, 0.137, 0.816)
Ge (0.500, 0.500, 0.000)
Ge (0.750, 0.250, 0.500)
Y (0.250, 0.750, 0.500)

Summary:
Final energy (eV/atom): -7.72
V (Å³/atom): 14.2
Uncorrected formation energy (eV per atom): -2.4914

---

## ThZnGeO (PBE-GGA)

Data for crystalline ThZnGeO at its relaxed geometry.

Cell lengths 4.045, 4.045, 8.628 Å; angles 90.00, 90.00, 90.00 degrees
Atoms (fractional coordinates):
Ge (0.500, 0.000, 0.686)
Ge (0.000, 0.500, 0.314)
O (0.500, 0.500, 0.000)
O (0.000, 0.000, 0.000)
Th (0.500, 0.000, 0.154)
Th (0.000, 0.500, 0.846)
Zn (0.500, 0.500, 0.500)
Zn (0.000, 0.000, 0.500)

Summary:
Final energy (eV/atom): -6.28
V (Å³/atom): 17.6
Uncorrected formation energy (eV per atom): -1.7162

---

## ThZrGe2O8 (PBE-GGA)

Data for crystalline ThZrGe2O8 at its relaxed geometry.

Cell lengths 5.950, 5.950, 5.950 Å; angles 107.06, 107.06, 114.41 degrees
Atoms (fractional coordinates):
O (0.928, 0.621, 0.692)
O (0.519, 0.695, 0.824)
O (0.379, 0.072, 0.308)
O (0.305, 0.130, 0.824)
O (0.764, 0.072, 0.692)
O (0.928, 0.236, 0.308)
O (0.305, 0.481, 0.176)
O (0.870, 0.695, 0.176)
Zr (0.000, 0.000, 0.000)
Ge (0.500, 0.500, 0.000)
Ge (0.750, 0.250, 0.500)
Th (0.250, 0.750, 0.500)

Summary:
Final energy (eV/atom): -8.01
V (Å³/atom): 13.4
Uncorrected formation energy (eV per atom): -2.6049

---

## Ti2GeO (PBE-GGA)

Data for crystalline Ti2GeO at its relaxed geometry.

Cell lengths 4.276, 4.276, 4.276 Å; angles 60.00, 60.00, 60.00 degrees
Atoms (fractional coordinates):
Ge (0.500, 0.500, 0.500)
Ti (0.750, 0.750, 0.750)
Ti (0.250, 0.250, 0.250)
O (0.000, 0.000, 0.000)

Summary:
E above lowest polymorph (meV per atom): 683
Final energy (eV/atom): -6.96
V (Å³/atom): 13.8
Uncorrected formation energy (eV per atom): -0.6200

---

## Ti4GeO (PBE-GGA)

Data for crystalline Ti4GeO at its relaxed geometry.

Cell lengths 5.678, 5.692, 5.550 Å; angles 90.00, 94.04, 90.00 degrees
Atoms (fractional coordinates):
O (0.000, 0.500, 0.500)
O (0.500, 0.000, 0.500)
Ge (0.000, 0.000, 0.000)
Ge (0.500, 0.500, 0.000)
Ti (0.174, 0.837, 0.601)
Ti (0.102, 0.377, 0.828)
Ti (0.398, 0.877, 0.172)
Ti (0.326, 0.337, 0.399)
Ti (0.602, 0.123, 0.828)
Ti (0.826, 0.163, 0.399)
Ti (0.674, 0.663, 0.601)
Ti (0.898, 0.623, 0.172)

Summary:
Final energy (eV/atom): -7.81
V (Å³/atom): 14.9
Uncorrected formation energy (eV per atom): -0.9535

---

## Ti3GeO (PBE-GGA)

Data for crystalline Ti3GeO at its relaxed geometry.

Cell lengths 4.067, 5.639, 6.661 Å; angles 115.04, 90.00, 90.00 degrees
Atoms (fractional coordinates):
Ti (0.500, 0.500, 0.500)
Ti (0.500, 0.260, 0.000)
Ti (0.500, 0.000, 0.500)
Ti (0.500, 0.740, 0.000)
Ti (0.000, 0.859, 0.719)
Ti (0.000, 0.141, 0.281)
O (0.500, 0.879, 0.759)
O (0.500, 0.121, 0.241)
Ge (0.000, 0.629, 0.258)
Ge (0.000, 0.371, 0.742)

Summary:
E above lowest polymorph (meV per atom): 0
Final energy (eV/atom): -7.87
V (Å³/atom): 13.8
Uncorrected formation energy (eV per atom): -1.2223

---

## Ti3GeO (PBE-GGA)

Data for crystalline Ti3GeO at its relaxed geometry.

Cell lengths 3.459, 6.940, 6.883 Å; angles 78.95, 90.00, 104.43 degrees
Atoms (fractional coordinates):
Ge (0.331, 0.663, 0.727)
Ge (0.669, 0.337, 0.273)
Ti (0.836, 0.672, 0.446)
Ti (0.944, 0.887, 0.850)
Ti (0.686, 0.373, 0.881)
Ti (0.314, 0.627, 0.119)
Ti (0.056, 0.113, 0.150)
Ti (0.164, 0.328, 0.554)
O (0.906, 0.812, 0.157)
O (0.094, 0.188, 0.843)

Summary:
E above lowest polymorph (meV per atom): 52
Final energy (eV/atom): -7.82
V (Å³/atom): 15.7
Uncorrected formation energy (eV per atom): -1.1699

---

## TiGe2O (PBE-GGA)

Data for crystalline TiGe2O at its relaxed geometry.

Cell lengths 6.100, 6.100, 5.497 Å; angles 56.30, 56.30, 90.00 degrees
Atoms (fractional coordinates):
Ge (0.875, 0.807, 0.750)
Ge (0.193, 0.625, 0.250)
Ge (0.375, 0.443, 0.750)
Ge (0.557, 0.125, 0.250)
Ti (0.750, 0.250, 0.500)
Ti (0.000, 0.000, 0.000)
O (0.250, 0.750, 0.500)
O (0.500, 0.500, 0.000)

Summary:
Final energy (eV/atom): -5.76
V (Å³/atom): 15.8
Uncorrected formation energy (eV per atom): -0.2379

---

## Ti2GeO (PBE-GGA)

Data for crystalline Ti2GeO at its relaxed geometry.

Cell lengths 3.926, 3.926, 6.425 Å; angles 72.21, 72.21, 60.00 degrees
Atoms (fractional coordinates):
O (0.000, 0.000, 0.000)
Ti (0.899, 0.899, 0.303)
Ti (0.101, 0.101, 0.697)
Ge (0.500, 0.500, 0.500)

Summary:
E above lowest polymorph (meV per atom): 176
Final energy (eV/atom): -7.47
V (Å³/atom): 20.1
Uncorrected formation energy (eV per atom): -1.1274

---

## Ti8GeO2 (PBE-GGA)

Data for crystalline Ti8GeO2 at its relaxed geometry.

Cell lengths 4.356, 6.552, 6.552 Å; angles 120.97, 91.46, 91.46 degrees
Atoms (fractional coordinates):
Ti (0.934, 0.875, 0.610)
Ti (0.500, 0.244, 0.756)
Ti (0.934, 0.610, 0.875)
Ti (0.641, 0.375, 0.375)
Ti (0.066, 0.125, 0.390)
Ti (0.500, 0.756, 0.244)
Ti (0.066, 0.390, 0.125)
Ti (0.359, 0.625, 0.625)
O (0.000, 0.243, 0.757)
O (0.000, 0.757, 0.243)
Ge (0.500, 0.000, 0.000)

Summary:
Final energy (eV/atom): -7.94
V (Å³/atom): 14.6
Uncorrected formation energy (eV per atom): -0.8814

---

## TiGe3O (PBE-GGA)

Data for crystalline TiGe3O at its relaxed geometry.

Cell lengths 4.310, 4.310, 4.310 Å; angles 90.00, 90.00, 90.00 degrees
Atoms (fractional coordinates):
O (0.000, 0.000, 0.000)
Ge (0.000, 0.500, 0.000)
Ge (0.000, 0.000, 0.500)
Ge (0.500, 0.000, 0.000)
Ti (0.500, 0.500, 0.500)

Summary:
E above lowest polymorph (meV per atom): 0
Final energy (eV/atom): -5.44
V (Å³/atom): 16.0
Uncorrected formation energy (eV per atom): -0.0947

---

## Ti3GeO (PBE-GGA)

Data for crystalline Ti3GeO at its relaxed geometry.

Cell lengths 4.111, 4.111, 4.111 Å; angles 90.00, 90.00, 90.00 degrees
Atoms (fractional coordinates):
Ti (0.000, 0.000, 0.500)
Ti (0.500, 0.000, 0.000)
Ti (0.000, 0.500, 0.000)
Ge (0.500, 0.500, 0.500)
O (0.000, 0.000, 0.000)

Summary:
E above lowest polymorph (meV per atom): 33
Final energy (eV/atom): -7.84
V (Å³/atom): 13.9
Uncorrected formation energy (eV per atom): -1.1892

---

## Ti4Ge2O (PBE-GGA)

Data for crystalline Ti4Ge2O at its relaxed geometry.

Cell lengths 3.923, 3.923, 7.456 Å; angles 74.75, 74.75, 90.00 degrees
Atoms (fractional coordinates):
Ti (0.169, 0.169, 0.663)
Ti (0.831, 0.831, 0.337)
Ti (0.000, 0.500, 0.000)
Ti (0.500, 0.000, 0.000)
O (0.000, 0.000, 0.000)
Ge (0.356, 0.356, 0.288)
Ge (0.644, 0.644, 0.712)

Summary:
Final energy (eV/atom): -7.61
V (Å³/atom): 15.2
Uncorrected formation energy (eV per atom): -1.0684

---

## TiGe3O (PBE-GGA)

Data for crystalline TiGe3O at its relaxed geometry.

Cell lengths 4.906, 4.906, 4.906 Å; angles 90.00, 90.00, 90.00 degrees
Atoms (fractional coordinates):
Ge (0.000, 0.000, 0.500)
Ge (0.000, 0.500, 0.000)
Ge (0.500, 0.000, 0.000)
O (0.500, 0.500, 0.500)
Ti (0.000, 0.000, 0.000)

Summary:
E above lowest polymorph (meV per atom): 819
Final energy (eV/atom): -4.62
V (Å³/atom): 23.6
Uncorrected formation energy (eV per atom): 0.7240

---

## TiGeO2 (PBE-GGA)

Data for crystalline TiGeO2 at its relaxed geometry.

Cell lengths 5.398, 5.398, 5.945 Å; angles 63.00, 63.00, 90.00 degrees
Atoms (fractional coordinates):
O (0.375, 0.528, 0.750)
O (0.472, 0.125, 0.250)
O (0.278, 0.625, 0.250)
O (0.875, 0.722, 0.750)
Ti (0.500, 0.500, 0.000)
Ti (0.250, 0.750, 0.500)
Ge (0.000, 0.000, 0.000)
Ge (0.750, 0.250, 0.500)

Summary:
Final energy (eV/atom): -7.24
V (Å³/atom): 16.6
Uncorrected formation energy (eV per atom): -1.6301

---

## TiGeO2 (PBE-GGA)

Data for crystalline TiGeO2 at its relaxed geometry.

Cell lengths 6.824, 6.824, 6.824 Å; angles 24.90, 24.90, 24.90 degrees
Atoms (fractional coordinates):
O (0.111, 0.111, 0.111)
O (0.889, 0.889, 0.889)
Ge (0.000, 0.000, 0.000)
Ti (0.500, 0.500, 0.500)

Summary:
Final energy (eV/atom): -7.62
V (Å³/atom): 12.4
Uncorrected formation energy (eV per atom): -2.0101

---

## TiGeO (PBE-GGA)

Data for crystalline TiGeO at its relaxed geometry.

Cell lengths 3.678, 3.678, 6.260 Å; angles 90.00, 90.04, 90.00 degrees
Atoms (fractional coordinates):
Ge (0.250, 0.750, 0.000)
Ge (0.750, 0.250, 0.000)
Ti (0.750, 0.750, 0.648)
Ti (0.250, 0.250, 0.352)
O (0.250, 0.750, 0.500)
O (0.750, 0.250, 0.500)

Summary:
Final energy (eV/atom): -7.41
V (Å³/atom): 14.1
Uncorrected formation energy (eV per atom): -1.5833

---

## Ti2GeO (PBE-GGA)

Data for crystalline Ti2GeO at its relaxed geometry.

Cell lengths 6.103, 6.103, 5.362 Å; angles 55.31, 55.31, 90.00 degrees
Atoms (fractional coordinates):
Ge (0.000, 0.000, 0.000)
Ge (0.750, 0.250, 0.500)
Ti (0.527, 0.125, 0.250)
Ti (0.375, 0.473, 0.750)
Ti (0.875, 0.777, 0.750)
Ti (0.223, 0.625, 0.250)
O (0.250, 0.750, 0.500)
O (0.500, 0.500, 0.000)

Summary:
E above lowest polymorph (meV per atom): 0
Final energy (eV/atom): -7.64
V (Å³/atom): 14.8
Uncorrected formation energy (eV per atom): -1.3033

---

## TmTiGe2O8 (PBE-GGA)

Data for crystalline TmTiGe2O8 at its relaxed geometry.

Cell lengths 5.723, 5.723, 5.723 Å; angles 107.82, 107.82, 112.83 degrees
Atoms (fractional coordinates):
O (0.300, 0.480, 0.180)
O (0.520, 0.700, 0.820)
O (0.880, 0.700, 0.180)
O (0.933, 0.233, 0.300)
O (0.767, 0.067, 0.700)
O (0.933, 0.634, 0.700)
O (0.366, 0.067, 0.300)
O (0.300, 0.120, 0.820)
Ge (0.750, 0.250, 0.500)
Ge (0.500, 0.500, 0.000)
Ti (0.000, 0.000, 0.000)
Tm (0.250, 0.750, 0.500)

Summary:
Final energy (eV/atom): -7.25
V (Å³/atom): 12.0
Uncorrected formation energy (eV per atom): -2.1482